(1)
This record from Alexandria describes an optimized crystal structure of KZn2Tc. The functional is GGA-PBE.

The structure belongs to space group P4mm (No. 99); the cell edges are 3.442, 3.442 and 7.969 Å and the angles 90.00°, 90.00° and 90.00°. The asymmetric unit holds K at (0.000, 0.000, 0.000), Zn at (0.000, 0.000, 0.442), Zn at (0.500, 0.500, 0.664) and Tc at (0.500, 0.500, 0.346).

The energy of formation from the pure elements is 634 meV/atom. The value obtained for the energy above the most stable polymorph in this dataset is 0.988 eV per formula unit.

=====

(2)
This record from Alexandria describes an optimized crystal structure of LiMg4GaAg2. The functional is GGA-PBE.

The structure belongs to space group R-3m (No. 166, hexagonal axes); the cell edges are 4.7149, 4.7149 and 23.3599 Å and the angles 90.00°, 90.00° and 120.00°. The asymmetric unit holds Li at (0.0000, 0.0000, 0.0000), Mg at (0.0000, 0.0000, 0.1262), Mg at (0.0000, 0.0000, 0.3764), Ga at (0.0000, 0.0000, 0.5000) and Ag at (0.0000, 0.0000, 0.2544).

The energy of formation from the pure elements is -187 meV/atom.

=====

(3)
This record from Alexandria describes an optimized crystal structure of Ac4InTe3. The functional is GGA-PBE.

The structure belongs to space group Pm-3m (No. 221); the cell edges are 6.734, 6.734 and 6.734 Å and the angles 90.00°, 90.00° and 90.00°. The asymmetric unit holds Ac at (0.000, 0.000, 0.000), Ac at (0.000, 0.500, 0.500), In at (0.500, 0.500, 0.500) and Te at (0.000, 0.000, 0.500).

The energy relative to the elements, uncorrected is -1248 meV/atom.

=====

(4)
This record from Alexandria describes an optimized crystal structure of LiSiSe2. The functional is GGA-PBE.

The structure belongs to space group Immm (No. 71); the cell edges are 3.425, 7.448 and 8.516 Å and the angles 90.00°, 90.00° and 90.00°. The asymmetric unit holds Li at (0.000, 0.000, 0.000), Si at (0.000, 0.500, 0.000) and Se at (0.000, 0.232, 0.500).

The energy relative to the elements, uncorrected is -276 meV/atom.